Record 1
# K2LiHgH6

An optimized crystal structure of K2LiHgH6 (PBE, OQMD).

**Symmetry**: C2/m, No. 12
**Total DFT energy (no corrections)**: -2.423 eV per atom

Cell lengths 5.5999, 5.5999, 5.6787 Å; angles 120.44, 120.44, 60.84 degrees
Last column: nearest neighbours and their distance in Å.
Fractional coordinates of all 10 atoms:
H  0.7495  0.2519  0.7496  1 Li 2.00, 1 Hg 2.02
H  0.2505  0.7481  0.2504  1 Li 2.00, 1 Hg 2.02
H  0.2519  0.7495  0.7496  1 Li 2.00, 1 Hg 2.02
H  0.7481  0.2505  0.2504  1 Li 2.00, 1 Hg 2.02
H  0.2387  0.2387  0.2393  1 Hg 1.87, 1 Li 2.04
H  0.7613  0.7613  0.7607  1 Hg 1.87, 1 Li 2.04
Li  0.5000  0.5000  0.5000  6 H 2.00-2.04
Hg  0.0000  0.0000  0.0000  6 H 1.87-2.02
K  0.2500  0.2500  0.7499  12 H 2.80-2.84
K  0.7500  0.7500  0.2501  12 H 2.80-2.84



Record 2
# KRb2HgH6

An optimized crystal structure of KRb2HgH6 (PBE, OQMD).

**Symmetry**: I4/m, No. 87
**Total DFT energy (no corrections)**: -2.289 eV per atom

Cell lengths 6.7415, 6.7415, 6.7415 Å; angles 131.18, 131.18, 71.53 degrees
Last column: nearest neighbours and their distance in Å.
Fractional coordinates of all 10 atoms:
H  0.9960  0.6662  0.6622  1 H 1.85, 1 Hg 1.86
H  0.0040  0.3338  0.3378  1 H 1.85, 1 Hg 1.86
H  0.2530  0.2530  0.0000  1 K 2.70, 1 Hg 2.77, 4 Rb 2.79
H  0.6662  0.0040  0.6702  1 H 1.85, 1 Hg 1.86
H  0.7470  0.7470  0.0000  1 K 2.70, 1 Hg 2.77, 4 Rb 2.79
H  0.3338  0.9960  0.3298  1 H 1.85, 1 Hg 1.86
Hg  0.0000  0.0000  0.0000  4 H 1.86
Rb  0.2500  0.7500  0.5000  8 H 2.79-2.89
Rb  0.7500  0.2500  0.5000  8 H 2.79-2.89
K  0.5000  0.5000  0.0000  10 H 2.70-2.96



Record 3
# LiHgHPd2

An optimized crystal structure of LiHgHPd2 (PBE, OQMD).

**Symmetry**: P4/mmm, No. 123
**Total DFT energy (no corrections)**: -3.573 eV per atom

Cell lengths 4.0092, 4.0092, 4.1273 Å; angles 90.00, 90.00, 90.00 degrees
Last column: nearest neighbours and their distance in Å.
Fractional coordinates of all 5 atoms:
Pd  0.0000  0.5000  0.0000  2 H 2.00
Pd  0.5000  0.0000  0.0000  2 H 2.00
Hg  0.5000  0.5000  0.5000  4 Li 2.83, 8 Pd 2.88
Li  0.0000  0.0000  0.5000  2 H 2.06
H  0.0000  0.0000  0.0000  4 Pd 2.00, 2 Li 2.06



Record 4
# Li2HgHPd

An optimized crystal structure of Li2HgHPd (PBE, OQMD).

**Symmetry**: P4/mmm, No. 123
**Total DFT energy (no corrections)**: -2.946 eV per atom

Cell lengths 4.1992, 4.1992, 3.6394 Å; angles 90.00, 90.00, 90.00 degrees
Last column: nearest neighbours and their distance in Å.
Fractional coordinates of all 5 atoms:
H  0.0000  0.0000  0.0000  2 Pd 1.82
Pd  0.0000  0.0000  0.5000  2 H 1.82
Li  0.5000  0.0000  0.0000  2 H 2.10
Li  0.0000  0.5000  0.0000  2 H 2.10
Hg  0.5000  0.5000  0.5000  8 Li 2.78, 4 Pd 2.97



Record 5
# Rb2NaHgH6

An optimized crystal structure of Rb2NaHgH6 (PBE, OQMD).

**Symmetry**: I4/m, No. 87
**Total DFT energy (no corrections)**: -2.296 eV per atom

Cell lengths 6.1636, 6.1636, 6.1636 Å; angles 123.01, 123.01, 84.86 degrees
Last column: nearest neighbours and their distance in Å.
Fractional coordinates of all 10 atoms:
H  0.7740  0.2107  0.9847  1 Hg 1.82
H  0.7439  0.7439  0.0000  1 Na 2.22, 1 Hg 2.33
H  0.2561  0.2561  0.0000  1 Na 2.22, 1 Hg 2.33
H  0.2107  0.2260  0.4367  1 Hg 1.82
H  0.7893  0.7740  0.5633  1 Hg 1.82
H  0.2260  0.7893  0.0153  1 Hg 1.82
Rb  0.2500  0.7500  0.5000  12 H 2.94-3.14
Rb  0.7500  0.2500  0.5000  12 H 2.94-3.14
Hg  0.0000  0.0000  0.0000  4 H 1.82
Na  0.5000  0.5000  0.0000  6 H 2.22-2.34



Record 6
# Hg3H4S2O11

An optimized crystal structure of Hg3H4S2O11 (PBE, OQMD).

**Symmetry**: C2/c, No. 15
**Total DFT energy (no corrections)**: -4.807 eV per atom

Cell lengths 5.6905, 5.6905, 14.3891 Å; angles 95.61, 95.61, 103.76 degrees
Last column: nearest neighbours and their distance in Å.
Fractional coordinates of all 40 atoms:
Hg  0.5000  0.0000  0.0000  2 O 2.19
Hg  0.3086  0.1798  0.6527  2 O 2.11-2.15
Hg  0.6914  0.8202  0.3473  2 O 2.11-2.15
Hg  0.1798  0.3086  0.1527  2 O 2.11-2.15
Hg  0.8202  0.6914  0.8473  2 O 2.11-2.15
Hg  0.0000  0.5000  0.5000  2 O 2.19
S  0.3680  0.1889  0.3963  4 O 1.47-1.55
S  0.1889  0.3680  0.8963  4 O 1.47-1.55
S  0.8111  0.6320  0.1037  4 O 1.47-1.55
S  0.6320  0.8111  0.6037  4 O 1.47-1.55
O  0.7516  0.4225  0.0296  1 S 1.47
O  0.1723  0.8277  0.7500  2 H 1.00
O  0.6239  0.6179  0.1685  1 S 1.48
O  0.9476  0.6063  0.3586  1 H 1.00
O  0.8277  0.1723  0.2500  2 H 1.00
O  0.4226  0.7516  0.5296  1 S 1.47
O  0.2484  0.5774  0.9704  1 S 1.47
O  0.8585  0.8649  0.0621  1 S 1.48
O  0.1415  0.1351  0.9379  1 S 1.48
O  0.1351  0.1415  0.4379  1 S 1.48
O  0.0570  0.6378  0.1619  1 S 1.55, 1 H 1.73
O  0.3821  0.3761  0.3315  1 S 1.48
O  0.0524  0.3937  0.6414  1 H 1.00
O  0.3761  0.3821  0.8315  1 S 1.48
O  0.3622  0.9430  0.3381  1 S 1.55, 1 H 1.73
O  0.6063  0.9476  0.8586  1 H 1.00
O  0.3937  0.0524  0.1414  1 H 1.00
O  0.9430  0.3622  0.8381  1 S 1.55, 1 H 1.73
O  0.8649  0.8585  0.5621  1 S 1.48
O  0.6179  0.6239  0.6685  1 S 1.48
O  0.6378  0.0570  0.6619  1 S 1.55, 1 H 1.73
O  0.5774  0.2484  0.4704  1 S 1.47
H  0.7158  0.1055  0.8481  1 O 1.00
H  0.8572  0.3346  0.2893  1 O 1.00
H  0.8945  0.2842  0.6519  1 O 1.00
H  0.1055  0.7158  0.3481  1 O 1.00
H  0.6654  0.1428  0.2107  1 O 1.00
H  0.1428  0.6654  0.7107  1 O 1.00
H  0.3346  0.8572  0.7893  1 O 1.00
H  0.2842  0.8945  0.1519  1 O 1.00



Record 7
# Zn2Hg2H2S2O11

An optimized crystal structure of Zn2Hg2H2S2O11 (PBE, OQMD).

**Symmetry**: Pbcm, No. 57
**Total DFT energy (no corrections)**: -4.962 eV per atom

Cell lengths 6.0970, 11.2888, 12.7811 Å; angles 90.00, 90.00, 90.00 degrees
Last column: nearest neighbours and their distance in Å.
Fractional coordinates of all 76 atoms:
O  0.0000  0.3684  0.5995  1 S 1.48, 1 H 1.57
O  0.2702  0.0945  0.9628  1 S 1.48
O  0.6148  0.6628  0.3649  1 S 1.49
O  0.0000  0.3684  0.9005  1 S 1.48, 1 H 1.57
O  0.6148  0.6628  0.1351  1 S 1.49
O  0.7579  0.0353  0.8848  1 S 1.49
O  0.6148  0.8372  0.8649  1 S 1.49
O  0.7138  0.2342  0.7500  2 Hg 2.05-2.11, 2 Zn 2.13
O  0.2862  0.7342  0.7500  2 Hg 2.05-2.11, 2 Zn 2.13
O  0.3412  0.3967  0.2500  2 Hg 2.06-2.08, 2 Zn 2.09
O  0.7080  0.2500  0.0000  2 H 1.01
O  0.7579  0.4647  0.3848  1 S 1.49
O  0.6588  0.8967  0.2500  2 Hg 2.06-2.08, 2 Zn 2.09
O  0.0000  0.6316  0.0995  1 S 1.48, 1 H 1.57
O  0.7298  0.5945  0.5372  1 S 1.48
O  0.3852  0.1628  0.1351  1 S 1.49
O  0.2421  0.9647  0.1152  1 S 1.49
O  0.0000  0.8684  0.5995  1 S 1.48, 1 H 1.57
O  0.2421  0.5353  0.8848  1 S 1.49
O  0.3412  0.1033  0.7500  2 Hg 2.06-2.08, 2 Zn 2.09
O  0.0000  0.6316  0.4005  1 S 1.48, 1 H 1.57
O  0.2702  0.0945  0.5372  1 S 1.48
O  0.2421  0.5353  0.6152  1 S 1.49
O  0.2421  0.9647  0.3848  1 S 1.49
O  0.2920  0.7500  0.5000  2 H 1.01
O  0.0000  0.1316  0.0995  1 S 1.48, 1 H 1.57
O  0.3852  0.3372  0.6351  1 S 1.49
O  0.2862  0.7658  0.2500  2 Hg 2.05-2.11, 2 Zn 2.13
O  0.2920  0.7500  0.0000  2 H 1.01
O  0.0000  0.8684  0.9005  1 S 1.48, 1 H 1.57
O  0.7298  0.9055  0.0372  1 S 1.48
O  0.7080  0.2500  0.5000  2 H 1.01
O  0.0000  0.1316  0.4005  1 S 1.48, 1 H 1.57
O  0.6588  0.6033  0.7500  2 Hg 2.06-2.08, 2 Zn 2.09
O  0.7138  0.2658  0.2500  2 Hg 2.05-2.11, 2 Zn 2.13
O  0.7298  0.5945  0.9628  1 S 1.48
O  0.2702  0.4055  0.0372  1 S 1.48
O  0.7579  0.4647  0.1152  1 S 1.49
O  0.7579  0.0353  0.6152  1 S 1.49
O  0.6148  0.8372  0.6351  1 S 1.49
O  0.3852  0.3372  0.8649  1 S 1.49
O  0.3852  0.1628  0.3649  1 S 1.49
O  0.2702  0.4055  0.4628  1 S 1.48
O  0.7298  0.9055  0.4628  1 S 1.48
Zn  0.5238  0.1676  0.6235  6 O 2.07-2.15
Zn  0.5238  0.3324  0.1235  6 O 2.07-2.15
Zn  0.5238  0.1676  0.8765  6 O 2.07-2.15
Zn  0.4762  0.8324  0.3765  6 O 2.07-2.15
Zn  0.5238  0.3324  0.3765  6 O 2.07-2.15
Zn  0.4762  0.6676  0.8765  6 O 2.07-2.15
Zn  0.4762  0.8324  0.1235  6 O 2.07-2.15
Zn  0.4762  0.6676  0.6235  6 O 2.07-2.15
S  0.7756  0.5886  0.0768  4 O 1.48-1.49
S  0.2244  0.0886  0.0768  4 O 1.48-1.49
S  0.2244  0.4114  0.9232  4 O 1.48-1.49
S  0.7756  0.9114  0.5768  4 O 1.48-1.49
S  0.2244  0.4114  0.5768  4 O 1.48-1.49
S  0.7756  0.9114  0.9232  4 O 1.48-1.49
S  0.7756  0.5886  0.4232  4 O 1.48-1.49
S  0.2244  0.0886  0.4232  4 O 1.48-1.49
Hg  0.9726  0.8302  0.2500  2 O 2.05-2.06
Hg  0.0274  0.1698  0.7500  2 O 2.05-2.06
Hg  0.2977  0.5792  0.2500  2 O 2.08-2.11
Hg  0.7023  0.0792  0.2500  2 O 2.08-2.11
Hg  0.2977  0.9208  0.7500  2 O 2.08-2.11
Hg  0.9726  0.6698  0.7500  2 O 2.05-2.06
Hg  0.7023  0.4208  0.7500  2 O 2.08-2.11
Hg  0.0274  0.3302  0.2500  2 O 2.05-2.06
H  0.8140  0.3086  0.5324  1 O 1.01
H  0.8140  0.1914  0.0324  1 O 1.01
H  0.1860  0.6914  0.0324  1 O 1.01
H  0.8140  0.3086  0.9676  1 O 1.01
H  0.1860  0.6914  0.4676  1 O 1.01
H  0.1860  0.8086  0.9676  1 O 1.01
H  0.1860  0.8086  0.5324  1 O 1.01
H  0.8140  0.1914  0.4676  1 O 1.01



Record 8
# HgH2SeO5

An optimized crystal structure of HgH2SeO5 (PBE, OQMD).

**Symmetry**: P2_1/c, No. 14
**Total DFT energy (no corrections)**: -4.604 eV per atom

Cell lengths 7.6883, 7.6821, 8.1036 Å; angles 90.00, 119.33, 90.00 degrees
Last column: nearest neighbours and their distance in Å.
Fractional coordinates of all 36 atoms:
Hg  0.6980  0.2329  0.7589  6 O 2.32-2.52
Hg  0.3020  0.7329  0.7411  6 O 2.32-2.52
Hg  0.6980  0.2671  0.2589  6 O 2.32-2.52
Hg  0.3020  0.7671  0.2411  6 O 2.32-2.52
O  0.2285  0.9060  0.9529  2 H 1.01
O  0.0490  0.1945  0.5087  1 Se 1.65
O  0.1423  0.0082  0.2761  1 H 1.62, 1 Se 1.69
O  0.6022  0.0084  0.3418  1 Se 1.68
O  0.9510  0.8055  0.4913  1 Se 1.65
O  0.7715  0.4060  0.5471  2 H 1.01
O  0.3978  0.5084  0.1582  1 Se 1.68
O  0.1423  0.4918  0.7761  1 H 1.62, 1 Se 1.69
O  0.3808  0.2163  0.9806  1 H 1.61, 1 Se 1.69
O  0.6022  0.4916  0.8418  1 Se 1.68
O  0.0490  0.3055  0.0087  1 Se 1.65
O  0.6192  0.7837  0.0194  1 H 1.61, 1 Se 1.69
O  0.9510  0.6945  0.9913  1 Se 1.65
O  0.8577  0.9918  0.7239  1 H 1.62, 1 Se 1.69
O  0.3808  0.2837  0.4806  1 H 1.61, 1 Se 1.69
O  0.2285  0.5940  0.4529  2 H 1.01
O  0.3978  0.9916  0.6582  1 Se 1.68
O  0.8577  0.5082  0.2239  1 H 1.62, 1 Se 1.69
O  0.6192  0.7163  0.5194  1 H 1.61, 1 Se 1.69
O  0.7715  0.0940  0.0471  2 H 1.01
H  0.7042  0.5234  0.5269  1 O 1.01
H  0.2958  0.4766  0.4731  1 O 1.01
H  0.9190  0.4324  0.6229  1 O 1.01
H  0.7042  0.9766  0.0269  1 O 1.01
H  0.0810  0.9324  0.8771  1 O 1.01
H  0.9190  0.0676  0.1229  1 O 1.01
H  0.0810  0.5676  0.3771  1 O 1.01
H  0.2958  0.0234  0.9731  1 O 1.01
Se  0.7656  0.8804  0.5188  4 O 1.65-1.69
Se  0.7656  0.6196  0.0188  4 O 1.65-1.69
Se  0.2344  0.3804  0.9812  4 O 1.65-1.69
Se  0.2344  0.1196  0.4812  4 O 1.65-1.69



Record 9
# Hg3PH6

An optimized crystal structure of Hg3PH6 (PBE, OQMD).

**Symmetry**: P-31m, No. 162
**Total DFT energy (no corrections)**: -2.325 eV per atom

Cell lengths 5.1582, 5.1582, 6.5480 Å; angles 90.00, 90.00, 120.00 degrees
Last column: nearest neighbours and their distance in Å.
Fractional coordinates of all 10 atoms:
Hg  0.6667  0.3333  0.5000  6 Hg 2.98, 6 H 3.13
Hg  0.3333  0.6667  0.5000  6 Hg 2.98, 6 H 3.13
Hg  0.0000  0.0000  0.5000  6 H 2.71, 6 Hg 2.98
P  0.0000  0.0000  0.0000  6 H 1.51
H  0.0000  0.7605  0.1324  1 P 1.51
H  0.2395  0.2395  0.1324  1 P 1.51
H  0.7605  0.7605  0.8676  1 P 1.51
H  0.7605  0.0000  0.1324  1 P 1.51
H  0.2395  0.0000  0.8676  1 P 1.51
H  0.0000  0.2395  0.8676  1 P 1.51



Please write out number 2 again, unchanged.
# KRb2HgH6

An optimized crystal structure of KRb2HgH6 (PBE, OQMD).

**Symmetry**: I4/m, No. 87
**Total DFT energy (no corrections)**: -2.289 eV per atom

Cell lengths 6.7415, 6.7415, 6.7415 Å; angles 131.18, 131.18, 71.53 degrees
Last column: nearest neighbours and their distance in Å.
Fractional coordinates of all 10 atoms:
H  0.9960  0.6662  0.6622  1 H 1.85, 1 Hg 1.86
H  0.0040  0.3338  0.3378  1 H 1.85, 1 Hg 1.86
H  0.2530  0.2530  0.0000  1 K 2.70, 1 Hg 2.77, 4 Rb 2.79
H  0.6662  0.0040  0.6702  1 H 1.85, 1 Hg 1.86
H  0.7470  0.7470  0.0000  1 K 2.70, 1 Hg 2.77, 4 Rb 2.79
H  0.3338  0.9960  0.3298  1 H 1.85, 1 Hg 1.86
Hg  0.0000  0.0000  0.0000  4 H 1.86
Rb  0.2500  0.7500  0.5000  8 H 2.79-2.89
Rb  0.7500  0.2500  0.5000  8 H 2.79-2.89
K  0.5000  0.5000  0.0000  10 H 2.70-2.96



Question: total DFT energy (no corrections) of number 6 (Hg3H4S2O11)?
Answer: -4.807 eV per atom



Question: total DFT energy (no corrections) of number 1 (K2LiHgH6)?
Answer: -2.423 eV per atom